# YCrSbO6

An optimized crystal structure of YCrSbO6 (PBE with a Hubbard U, the Alexandria database).

Unit cell a=5.1782 b=5.1782 c=9.8149 alpha=90.00 beta=90.00 gamma=120.00
Space group P-31c (No. 163)
One atom of each set of equivalent atoms:
Y (0.0000, 0.0000, 0.0000) x2
Cr (0.3333, 0.6667, 0.2500) x2
Sb (0.3333, 0.6667, 0.7500) x2
O (0.0087, 0.3641, 0.1401) x12

**E_tot**: -7.421 eV per atom